No. 1
Cs8H: optimized geometry, PBE-GGA.

Unit cell a=10.567 b=10.567 c=8.637 alpha=90.00 beta=90.00 gamma=120.00
Positions (direct):
Cs 0.153 0.305 0.276
Cs 0.153 0.847 0.276
Cs 0.305 0.153 0.724
Cs 0.333 0.667 0.784
Cs 0.667 0.333 0.216
Cs 0.695 0.847 0.276
Cs 0.847 0.153 0.724
Cs 0.847 0.695 0.724
H 0.000 0.000 0.500

Results
Mass density ... 2.12 g/cm³
E ... -1.132 eV/atom

No. 2
Cs2TiOF5: optimized geometry, PBE-GGA.

Unit cell a=6.553 b=6.553 c=6.432 alpha=118.31 beta=118.31 gamma=93.79
Positions (direct):
Cs 0.250 0.750 0.000
Cs 0.750 0.250 0.000
Ti 0.000 0.000 0.499
O 0.791 0.791 0.083
F 0.181 0.181 0.443
F 0.207 0.207 0.913
F 0.213 0.814 0.526
F 0.764 0.764 0.447
F 0.814 0.213 0.526

Results
Energy relative to the elements, uncorrected ... -2.85 eV/atom
Mass density ... 3.55 g/cm³